# 1
# PW4Au | Alexandria | PBE | relaxed
data_PW4Au
_chemical_formula_sum 'P4 W16 Au4'
_space_group_name_H-M_alt 'F -4 3 m'
_space_group_IT_number 216
_space_group_name_Hall 'F -4 2 3'
_cell_length_a 7.491
_cell_length_b 7.491
_cell_length_c 7.491
_cell_angle_alpha 90.00
_cell_angle_beta 90.00
_cell_angle_gamma 90.00
loop_
_atom_site_label
_atom_site_fract_x
_atom_site_fract_y
_atom_site_fract_z
P1 0.000 0.000 0.000
W1 0.124 0.124 0.624
Au1 0.250 0.250 0.250
# energy of formation from the pure elements	534.9	kJ/mol of formula units

=====

# 2
# ZrPWAu2 | Alexandria | PBE | relaxed
data_ZrPWAu2
_chemical_formula_sum 'Zr1 P1 W1 Au2'
_space_group_name_H-M_alt 'P 4/m m m'
_space_group_IT_number 123
_space_group_name_Hall '-P 4 2'
_cell_length_a 4.649
_cell_length_b 4.649
_cell_length_c 4.586
_cell_angle_alpha 90.00
_cell_angle_beta 90.00
_cell_angle_gamma 90.00
loop_
_atom_site_label
_atom_site_fract_x
_atom_site_fract_y
_atom_site_fract_z
Zr1 0.000 0.000 0.000
P1 0.500 0.500 0.500
W1 0.500 0.500 0.000
Au1 0.000 0.500 0.500
# energy of formation from the pure elements	230.8	kJ/mol of formula units

=====

# 3
# YPAu | Alexandria | PBE | relaxed
data_YPAu
_chemical_formula_sum 'Y4 P4 Au4'
_space_group_name_H-M_alt 'F -4 3 m'
_space_group_IT_number 216
_space_group_name_Hall 'F -4 2 3'
_cell_length_a 6.428
_cell_length_b 6.428
_cell_length_c 6.428
_cell_angle_alpha 90.00
_cell_angle_beta 90.00
_cell_angle_gamma 90.00
loop_
_atom_site_label
_atom_site_fract_x
_atom_site_fract_y
_atom_site_fract_z
Y1 0.000 0.000 0.000
P1 0.250 0.250 0.750
Au1 0.000 0.000 0.500
# energy of formation from the pure elements	-193.6	kJ/mol of formula units

=====

# 4
# YPAu4 | Alexandria | PBE | relaxed
data_YPAu4
_chemical_formula_sum 'Y4 P4 Au16'
_space_group_name_H-M_alt 'F -4 3 m'
_space_group_IT_number 216
_space_group_name_Hall 'F -4 2 3'
_cell_length_a 7.849
_cell_length_b 7.849
_cell_length_c 7.849
_cell_angle_alpha 90.00
_cell_angle_beta 90.00
_cell_angle_gamma 90.00
loop_
_atom_site_label
_atom_site_fract_x
_atom_site_fract_y
_atom_site_fract_z
Y1 0.000 0.000 0.000
P1 0.250 0.250 0.250
Au1 0.125 0.125 0.625
# energy of formation from the pure elements	-148.9	kJ/mol of formula units

=====

# 5
# Y2PAu | Alexandria | PBE | relaxed
data_Y2PAu
_chemical_formula_sum 'Y6 P3 Au3'
_space_group_name_H-M_alt 'R -3 m'
_space_group_IT_number 166
_space_group_name_Hall '-R 3 2"'
_cell_length_a 4.0278
_cell_length_b 4.0278
_cell_length_c 20.9267
_cell_angle_alpha 90.00
_cell_angle_beta 90.00
_cell_angle_gamma 120.00
loop_
_atom_site_label
_atom_site_fract_x
_atom_site_fract_y
_atom_site_fract_z
Y1 0.0000 0.0000 0.2414
P1 0.0000 0.0000 0.5000
Au1 0.0000 0.0000 0.0000
# energy of formation from the pure elements	-437.4	kJ/mol of formula units

=====

# 6
# YPAu3 | Alexandria | PBE | relaxed
data_YPAu3
_chemical_formula_sum 'Y1 P1 Au3'
_space_group_name_H-M_alt 'P m -3 m'
_space_group_IT_number 221
_space_group_name_Hall '-P 4 2 3'
_cell_length_a 5.535
_cell_length_b 5.535
_cell_length_c 5.535
_cell_angle_alpha 90.00
_cell_angle_beta 90.00
_cell_angle_gamma 90.00
loop_
_atom_site_label
_atom_site_fract_x
_atom_site_fract_y
_atom_site_fract_z
Y1 0.000 0.000 0.000
P1 0.500 0.500 0.500
Au1 0.000 0.000 0.500
# offset from the most stable computed form	1106	meV per atom
# energy of formation from the pure elements	451.8	kJ/mol of formula units